CeUTe2 after structural relaxation, computed with PBE.

```
4
Lattice="-0.945 -3.660 0.395 0.829 0.185 3.705 -7.219 2.028 1.514" Properties=species:S:1:pos:R:3 pbc="T T T"
Te -5.368 1.508 1.126
Te -1.851 0.520 0.388
U -3.668 -0.724 2.807
Ce -0.058 -1.737 2.050
```

Results
- DOS(E_F): 12.9 states/eV per cell
- Total DFT energy (no corrections): -26.8 eV/cell
- Formation energy without anion corrections: -79.3 kJ/mol of atoms